[1]
Material: YUPdO6
Method: DFT, PBE
State: optimized geometry

abc: 5.3876 5.3876 10.1194
angles: 90.00 90.00 120.00
Space group P-31c (No. 163)
Unique sites:
Y (0.0000, 0.0000, 0.0000) (multiplicity 2)
U (0.3333, 0.6667, 0.2500) (multiplicity 2)
Pd (0.3333, 0.6667, 0.7500) (multiplicity 2)
O (0.0045, 0.3469, 0.1349) (multiplicity 12)

Output
The uncorrected formation energy comes out at -2411 meV/atom. The volume is 254 Å³ per cell.

---

[2]
Material: UZnPdO6
Method: DFT, PBE
State: optimized geometry

abc: 5.2802 5.2802 9.2654
angles: 90.00 90.00 120.00
Space group P-31c (No. 163)
Unique sites:
U (0.3333, 0.6667, 0.2500) (multiplicity 2)
Zn (0.0000, 0.0000, 0.0000) (multiplicity 2)
Pd (0.3333, 0.6667, 0.7500) (multiplicity 2)
O (0.0071, 0.3429, 0.6296) (multiplicity 12)

Output
The uncorrected formation energy comes out at -1714 meV/atom. The volume is 224 Å³ per cell.

---

> Which value of volume does entry 2 give?

224 Å³ per cell

---

> Look up the uncorrected formation energy of the second one.

-1714 meV/atom